1.
The following is a PBE calculation of crystalline SrCoSb2 at its relaxed geometry, from Alexandria.

Geometry as POSCAR:
```
SrCoSb2
1.0
-1.996 2.877 -1.014
-0.916 -2.727 -2.239
-5.618 -2.161 4.929
Sr Sb Co
1 2 1
Direct
0.500 0.500 0.250
0.000 0.000 0.560
0.000 0.000 0.940
0.500 0.500 0.750
```

Uncorrected formation energy (meV per atom): -87
DOS at the Fermi energy (states/eV/cell): 3.6
Total moment (μB/cell): 1.28
Final energy (eV/atom): -4.3455

2.
The following is a PBE calculation of crystalline MgTcOs2 at its relaxed geometry, from Alexandria.

Geometry as POSCAR:
```
MgTcOs2
1.0
-4.455 1.818 -0.555
-4.771 -0.809 0.216
-0.908 1.415 4.451
Os Mg Tc
2 1 1
Direct
0.988 0.988 0.010
0.512 0.512 0.490
0.750 0.750 0.750
0.250 0.250 0.250
```

DOS at the Fermi energy (states/eV/cell): 4.6
Total moment (μB/cell): 0.00
Final energy (eV/atom): -8.3619
Formation energy (eV per atom): 0.24

3.
The following is a PBE calculation of crystalline AcErTlAg at its relaxed geometry, from Alexandria.

Geometry as POSCAR:
```
AcErTlAg
1.0
-2.430 -2.435 1.573
-0.788 -1.420 -3.416
5.950 -5.380 0.865
Ag Ac Tl Er
1 1 1 1
Direct
0.000 0.000 0.398
0.500 0.500 0.117
0.000 0.000 0.826
0.500 0.500 0.587
```

Excess energy over the best structure of this formula in the dataset (eV per atom): 0.0000
DOS at the Fermi energy (states/eV/cell): 3.4
Total moment (μB/cell): 0.09
Final energy (eV/atom): -3.7776
Formation energy (eV per atom): -0.31

4.
The following is a PBE calculation of crystalline Ho3ErTm4 at its relaxed geometry, from Alexandria.

Geometry as POSCAR:
```
Ho3ErTm4
1.0
6.188 0.000 0.000
0.000 7.157 0.000
0.000 0.000 11.061
Tm Ho Er
8 6 2
Direct
0.481 0.876 0.250
0.648 0.124 0.500
0.981 0.124 0.750
0.148 0.876 0.000
0.481 0.876 0.750
0.148 0.876 0.500
0.981 0.124 0.250
0.648 0.124 0.000
0.647 0.626 0.000
0.981 0.626 0.750
0.481 0.374 0.250
0.481 0.374 0.750
0.147 0.374 0.500
0.981 0.626 0.250
0.648 0.626 0.500
0.148 0.374 0.000
```

Excess energy over the best structure of this formula in the dataset (eV per atom): 0.0000
DOS at the Fermi energy (states/eV/cell): 26.2
Total moment (μB/cell): 0.00
Final energy (eV/atom): -4.5247
Formation energy (eV per atom): 0.00

> Which of these has the highest total moment?

SrCoSb2

> What is the total moment in the fourth record?

0.00 μB/cell

> What is the formula in the second record?

MgTcOs2

> Which of these has the highest DOS at the Fermi energy?

Ho3ErTm4